# PBE PmCuI4, relaxed
data_PmCuI4
_chemical_formula_sum 'Pm2 Cu2 I8'
_space_group_name_H-M_alt 'C 1 2/m 1'
_space_group_IT_number 12
_space_group_name_Hall '-C 2y'
_cell_length_a 17.290
_cell_length_b 4.254
_cell_length_c 7.621
_cell_angle_alpha 90.00
_cell_angle_beta 115.29
_cell_angle_gamma 90.00
loop_
_atom_site_label
_atom_site_fract_x
_atom_site_fract_y
_atom_site_fract_z
Pm1 0.000 0.000 0.000
Cu1 0.000 0.500 0.500
I1 0.097 0.000 0.449
I2 0.126 0.500 0.977
# Magnetic moment in μB/cell: 0.00
# Raw formation energy in eV/atom: -0.8885
# Calculated density in kg/m³: 4693
# E_tot in eV/atom: -3.40